Run i
RhPb2O | PBE | optimized geometry

Fermi-level density of states   1.001 states/eV/atom
SG   Fm-3m

Lattice parameters (Å, degrees): 4.7490 4.7490 4.7490 60.00 60.00 60.00
Last column: nearest neighbours and their distance in Å.
Atoms (fractional coordinates):
Pb1 0.2500 0.2500 0.2500  4 O 2.91, 4 Rh 2.91
Pb2 0.7500 0.7500 0.7500  4 O 2.91, 4 Rh 2.91
O1 0.0000 0.0000 0.0000  8 Pb 2.91
Rh1 0.5000 0.5000 0.5000  8 Pb 2.91

---

Run ii
RhPb2O | PBE | optimized geometry

Fermi-level density of states   0.462 states/eV/atom
SG   I-42d

Lattice parameters (Å, degrees): 6.5817 6.5817 6.1034 57.37 57.37 90.00
Last column: nearest neighbours and their distance in Å.
Atoms (fractional coordinates):
Rh1 0.7500 0.2500 0.5000  4 Pb 2.71
O1 0.5000 0.5000 0.0000  4 Pb 2.37
O2 0.2500 0.7500 0.5000  4 Pb 2.37
Pb1 0.5852 0.1250 0.2500  2 O 2.37
Pb2 0.3750 0.4148 0.7500  2 O 2.37
Pb3 0.1648 0.6250 0.2500  2 O 2.37
Pb4 0.8750 0.8352 0.7500  2 O 2.37
Rh2 0.0000 0.0000 0.0000  4 Pb 2.71

---

Which structure is most stable, and how do the rest compare? From most to least stable: run ii, run i.

---

Run i
Ru2Pb2O7 | PBE | optimized geometry

Fermi-level density of states   0.456 states/eV/atom
SG   Fd-3m

Lattice parameters (Å, degrees): 7.3829 7.3829 7.3829 60.00 60.00 60.00
Last column: nearest neighbours and their distance in Å.
Atoms (fractional coordinates):
O1 0.4475 0.0525 0.4475  2 Ru 1.99
O2 0.4475 0.0525 0.0525  2 Ru 1.99
O3 0.0525 0.4475 0.4475  2 Ru 1.99
Pb1 0.6250 0.1250 0.6250  2 O 2.26
Ru1 0.6250 0.1250 0.1250  6 O 1.99
O4 0.1975 0.8025 0.8025  2 Ru 1.99
O5 0.4475 0.4475 0.0525  2 Ru 1.99
O6 0.0525 0.4475 0.0525  2 Ru 1.99
O7 0.8025 0.1975 0.1975  2 Ru 1.99
O8 0.8025 0.8025 0.1975  2 Ru 1.99
Pb2 0.6250 0.6250 0.1250  2 O 2.26
O9 0.8025 0.1975 0.8025  2 Ru 1.99
O10 0.0525 0.0525 0.4475  2 Ru 1.99
O11 0.7500 0.7500 0.7500  4 Pb 2.26
Pb3 0.6250 0.6250 0.6250  2 O 2.26
Ru2 0.1250 0.1250 0.1250  6 O 1.99
O12 0.5000 0.5000 0.5000  4 Pb 2.26
Ru3 0.1250 0.6250 0.1250  6 O 1.99
Pb4 0.1250 0.6250 0.6250  2 O 2.26
Ru4 0.1250 0.1250 0.6250  6 O 1.99
O13 0.1975 0.1975 0.8025  2 Ru 1.99
O14 0.1975 0.8025 0.1975  2 Ru 1.99

---

Run ii
Ru2Pb2O7 | PBE | optimized geometry

Fermi-level density of states   0.342 states/eV/atom
SG   C2/m

Lattice parameters (Å, degrees): 5.6820 6.2451 6.2451 116.06 95.86 95.86
Last column: nearest neighbours and their distance in Å.
Atoms (fractional coordinates):
O1 0.3042 0.5582 0.5582  1 Ru 1.90
O2 0.6958 0.4418 0.4418  1 Ru 1.90
Pb1 0.0000 0.6923 0.3077  6 O 2.41-2.65
Ru1 0.3943 0.2582 0.2582  4 O 1.84-1.92
O3 0.2206 0.3653 0.0693  1 Ru 1.84
Pb2 0.0000 0.3077 0.6923  6 O 2.41-2.65
O4 0.7794 0.9307 0.6347  1 Ru 1.84
Ru2 0.6057 0.7418 0.7418  4 O 1.84-1.92
O5 0.5000 0.0000 0.0000  2 Ru 1.92
O6 0.2206 0.0693 0.3653  1 Ru 1.84
O7 0.7794 0.6347 0.9307  1 Ru 1.84

---

Which structure is most stable, and how do the rest compare? From most to least stable: run i, run ii.

---

Run i
Ru3PbO | PBE | optimized geometry

Fermi-level density of states   1.134 states/eV/atom
SG   Pm-3m

Lattice parameters (Å, degrees): 4.1865 4.1865 4.1865 90.00 90.00 90.00
Last column: nearest neighbours and their distance in Å.
Atoms (fractional coordinates):
Ru1 0.0000 0.0000 0.5000  2 O 2.09
Pb1 0.5000 0.5000 0.5000  12 Ru 2.96
Ru2 0.0000 0.5000 0.0000  2 O 2.09
O1 0.0000 0.0000 0.0000  6 Ru 2.09
Ru3 0.5000 0.0000 0.0000  2 O 2.09

---

Run ii
Ru3PbO | PBE | optimized geometry

Fermi-level density of states   1.225 states/eV/atom
SG   Pm-3m

Lattice parameters (Å, degrees): 5.0692 5.0692 5.0692 90.00 90.00 90.00
Last column: nearest neighbours and their distance in Å.
Atoms (fractional coordinates):
Ru1 0.0000 0.0000 0.5000  2 Pb 2.53
Pb1 0.0000 0.0000 0.0000  6 Ru 2.53
Ru2 0.5000 0.0000 0.0000  2 Pb 2.53
Ru3 0.0000 0.5000 0.0000  2 Pb 2.53
O1 0.5000 0.5000 0.5000  12 Ru 3.58

---

Which structure is most stable, and how do the rest compare? From most to least stable: run i, run ii.

---

Run i
RuPb2O2 | PBE | optimized geometry

Fermi-level density of states   0.674 states/eV/atom
SG   P4/mbm

Lattice parameters (Å, degrees): 7.4558 7.4558 3.3581 90.00 90.00 90.00
Last column: nearest neighbours and their distance in Å.
Atoms (fractional coordinates):
O1 0.6792 0.8208 0.5000  2 Pb 2.30
Ru1 0.0000 0.0000 0.0000  4 Pb 2.76
Ru2 0.5000 0.5000 0.0000  4 Pb 2.76
Pb1 0.6719 0.1719 0.0000  2 O 2.30
Pb2 0.3281 0.8281 0.0000  2 O 2.30
Pb3 0.1719 0.3281 0.0000  2 O 2.30
Pb4 0.8281 0.6719 0.0000  2 O 2.30
O2 0.1792 0.6792 0.5000  2 Pb 2.30
O3 0.8208 0.3208 0.5000  2 Pb 2.30
O4 0.3208 0.1792 0.5000  2 Pb 2.30

---

Run ii
RuPb2O2 | PBE | optimized geometry

Fermi-level density of states   0.451 states/eV/atom
SG   I4/mmm

Lattice parameters (Å, degrees): 3.6584 3.6584 6.7429 74.26 74.26 90.00
Last column: nearest neighbours and their distance in Å.
Atoms (fractional coordinates):
O1 0.7500 0.2500 0.5000  4 Pb 2.28
Pb1 0.3595 0.3595 0.2810  4 O 2.28
Ru1 0.0000 0.0000 0.0000  8 Pb 3.12
Pb2 0.6405 0.6405 0.7190  4 O 2.28
O2 0.2500 0.7500 0.5000  4 Pb 2.28

---

Which structure is most stable, and how do the rest compare? From most to least stable: run ii, run i.

---

Run i
PbS2O6 | PBE | optimized geometry

Fermi-level density of states   0.000 states/eV/atom
SG   R3

Lattice parameters (Å, degrees): 5.9765 5.9765 6.8566 64.16 64.16 60.00
Last column: nearest neighbours and their distance in Å.
Atoms (fractional coordinates):
O1 0.3862 0.5164 0.2482  1 S 1.47
S1 0.6045 0.6045 0.1864  3 O 1.47
S2 0.7289 0.7289 0.8132  3 O 1.47
O2 0.0130 0.6869 0.7526  1 S 1.47
O3 0.5475 0.0130 0.7526  1 S 1.47
O4 0.8491 0.3862 0.2482  1 S 1.47
O5 0.6869 0.5475 0.7526  1 S 1.47
O6 0.5164 0.8491 0.2482  1 S 1.47
Pb1 0.3330 0.3330 0.0009  6 O 2.57-2.59

---

Run ii
PbS2O6 | PBE | optimized geometry

SG   P-3m1

Lattice parameters (Å, degrees): 5.6338 6.2758 6.2758 120.00 90.00 90.00
Last column: nearest neighbours and their distance in Å.
Atoms (fractional coordinates):
O1 0.2391 0.7987 0.5973  1 S 1.49
S1 0.1666 0.6667 0.3333  3 O 1.49
O2 0.7609 0.2013 0.7987  1 S 1.49
Pb1 0.0000 0.0000 0.0000  6 O 2.57
O3 0.7609 0.5973 0.7987  1 S 1.49
O4 0.7609 0.2013 0.4027  1 S 1.49
O5 0.2391 0.7987 0.2013  1 S 1.49
S2 0.8334 0.3333 0.6667  3 O 1.49
O6 0.2391 0.4027 0.2013  1 S 1.49

---

Which structure is most stable, and how do the rest compare? From most to least stable: run i, run ii.

---

Run i
Pb2SO | PBE | optimized geometry

SG   P3m1

Lattice parameters (Å, degrees): 4.0186 4.0186 7.9379 90.00 90.00 120.00
Last column: nearest neighbours and their distance in Å.
Atoms (fractional coordinates):
Pb1 0.0000 0.0000 0.3353  1 O 2.72, 3 S 2.76
Pb2 0.6667 0.3333 0.8976  3 O 2.44
S1 0.6667 0.3333 0.5242  4 Pb 2.76-2.96
O1 0.0000 0.0000 0.9928  4 Pb 2.44-2.72

---

Run ii
Pb2SO | PBE | optimized geometry

Fermi-level density of states   0.040 states/eV/atom
SG   R-3m

Lattice parameters (Å, degrees): 3.9648 3.9648 6.9168 73.34 73.34 60.00
Last column: nearest neighbours and their distance in Å.
Atoms (fractional coordinates):
S1 0.5000 0.5000 0.5000  6 Pb 2.95
Pb1 0.2617 0.2617 0.2149  3 O 2.68, 3 S 2.95
O1 0.0000 0.0000 0.0000  6 Pb 2.68
Pb2 0.7383 0.7383 0.7851  3 O 2.68, 3 S 2.95

---

Run iii
Pb2SO | PBE | optimized geometry

Fermi-level density of states   0.082 states/eV/atom
SG   Fm-3m

Lattice parameters (Å, degrees): 4.8974 4.8974 4.8974 60.00 60.00 60.00
Last column: nearest neighbours and their distance in Å.
Atoms (fractional coordinates):
O1 0.0000 0.0000 0.0000  8 Pb 3.00
S1 0.5000 0.5000 0.5000  8 Pb 3.00
Pb1 0.7500 0.7500 0.7500  4 S 3.00, 4 O 3.00
Pb2 0.2500 0.2500 0.2500  4 O 3.00, 4 S 3.00

---

Which structure is most stable, and how do the rest compare? From most to least stable: run ii, run i, run iii.

---

Run i
PbS3O | PBE | optimized geometry

Fermi-level density of states   0.387 states/eV/atom
SG   Pm-3m

Lattice parameters (Å, degrees): 4.4490 4.4490 4.4490 90.00 90.00 90.00
Last column: nearest neighbours and their distance in Å.
Atoms (fractional coordinates):
S1 0.5000 0.0000 0.0000  2 O 2.22
Pb1 0.5000 0.5000 0.5000  12 S 3.15
S2 0.0000 0.5000 0.0000  2 O 2.22
O1 0.0000 0.0000 0.0000  6 S 2.22
S3 0.0000 0.0000 0.5000  2 O 2.22

---

Run ii
PbS3O | PBE | optimized geometry

Fermi-level density of states   3.555 states/eV/atom
SG   Pm-3m

Lattice parameters (Å, degrees): 5.2212 5.2212 5.2212 90.00 90.00 90.00
Last column: nearest neighbours and their distance in Å.
Atoms (fractional coordinates):
O1 0.5000 0.5000 0.5000  12 S 3.69
S1 0.0000 0.0000 0.5000  2 Pb 2.61
S2 0.0000 0.5000 0.0000  2 Pb 2.61
Pb1 0.0000 0.0000 0.0000  6 S 2.61
S3 0.5000 0.0000 0.0000  2 Pb 2.61

---

Which structure is most stable, and how do the rest compare? From most to least stable: run i, run ii.

---

Run i
Pb2SO5 | PBE | optimized geometry

Fermi-level density of states   0.000 states/eV/atom
SG   Fmm2

Lattice parameters (Å, degrees): 5.8176 5.8176 5.9692 125.07 125.07 79.68
Last column: nearest neighbours and their distance in Å.
Atoms (fractional coordinates):
Pb1 0.6892 0.1892 0.3784  4 O 2.46-2.47
S1 0.9797 0.9797 0.9593  3 O 1.51-1.56
Pb2 0.1892 0.6892 0.3784  4 O 2.46-2.47
O1 0.7961 0.7961 0.9899  1 S 1.78
O2 0.2553 0.8842 0.1396  1 S 1.56
O3 0.1938 0.1938 0.9899  1 S 1.78
O4 0.7895 0.7895 0.5789  1 S 1.51
O5 0.8842 0.2553 0.1396  1 S 1.56

---

Run ii
Pb2SO5 | PBE | optimized geometry

Fermi-level density of states   0.000 states/eV/atom
SG   C2/m

Lattice parameters (Å, degrees): 7.5621 7.5621 7.1915 67.34 67.34 45.09
Last column: nearest neighbours and their distance in Å.
Atoms (fractional coordinates):
O1 0.7474 0.2526 0.0000  4 Pb 2.31-2.36
Pb1 0.8549 0.8549 0.0962  3 O 2.36-2.61
O2 0.9340 0.3545 0.2553  1 S 1.50
S1 0.1719 0.1719 0.3436  4 O 1.49-1.50
O3 0.2885 0.2885 0.2828  1 S 1.50
Pb2 0.4731 0.4731 0.2699  3 O 2.31-2.54
O4 0.2526 0.7474 0.0000  4 Pb 2.31-2.36
O5 0.8867 0.8867 0.4291  1 S 1.49
O6 0.6455 0.0660 0.7447  1 S 1.50
S2 0.8281 0.8281 0.6564  4 O 1.49-1.50
O7 0.1133 0.1133 0.5709  1 S 1.49
O8 0.0660 0.6455 0.7447  1 S 1.50
Pb3 0.1451 0.1451 0.9038  3 O 2.36-2.61
O9 0.7115 0.7115 0.7172  1 S 1.50
O10 0.3545 0.9340 0.2553  1 S 1.50
Pb4 0.5269 0.5269 0.7301  3 O 2.31-2.54

---

Which structure is most stable, and how do the rest compare? From most to least stable: run ii, run i.